# 1
PBE CeDySeS2, relaxed; calculated volume = 262 Å³/cell; formation energy without anion corrections = -152.0 kJ per mole of atoms
1.0
3.1112 -6.7686 0.0000
3.1112 6.7686 0.0000
0.0000 0.0000 6.2228
Ce Dy Se S
2 2 2 4
Cartesian
3.1112 5.1315 4.6671
3.1112 -5.1315 1.5557
3.1112 1.4533 4.6671
3.1112 -1.4533 1.5557
3.1112 3.3906 1.5557
3.1112 -3.3906 4.6671
1.5493 0.0000 0.0000
1.5493 0.0000 3.1114
4.6732 0.0000 0.0000
4.6732 0.0000 3.1114

=====

# 2
PBE CeDySiS, relaxed; calculated volume = 287 Å³/cell; formation energy without anion corrections = -128.2 kJ per mole of atoms
1.0
4.0766 0.0000 0.0000
-2.0383 3.5304 0.0000
0.0000 0.0000 19.9196
Ce Dy Si S
3 3 3 3
Cartesian
0.0000 0.0000 0.0000
0.0000 2.3536 13.2797
2.0383 1.1768 6.6399
0.0000 0.0000 9.9714
0.0000 2.3536 3.3315
2.0383 1.1768 16.6112
0.0000 0.0000 14.9450
0.0000 2.3536 8.3051
2.0383 1.1768 1.6652
0.0000 0.0000 4.9307
0.0000 2.3536 18.2104
2.0383 1.1768 11.5705

=====

# 3
PBE CeSm3Dy3S8, relaxed; calculated volume = 351 Å³/cell; formation energy without anion corrections = -195.3 kJ per mole of atoms
1.0
3.9555 2.2837 6.4719
-3.9555 2.2837 6.4719
0.0000 -4.5674 6.4719
Ce Sm Dy S
1 3 3 8
Cartesian
0.0000 0.0000 0.0000
-3.9554 0.0000 9.7078
-1.9777 1.1418 3.2359
1.9777 1.1418 3.2359
-1.9777 -1.1418 6.4719
-1.9777 1.1418 12.9437
0.0000 2.2837 6.4719
0.0000 0.0000 4.9127
0.0000 -2.2182 8.0723
-1.9211 1.1091 8.0723
-1.9211 -1.1091 11.3433
1.9211 1.1091 8.0723
1.9211 -1.1091 11.3433
0.0000 2.2182 11.3433
0.0000 0.0000 14.5029